{"formula": "Sm8Ir2Ru", "functional": "PBE", "state": "relaxed", "lattice": [[-0.418, -5.680, 2.319], [6.920, -0.268, -3.234], [-0.182, 4.185, 6.393]], "species": ["Sm", "Sm", "Sm", "Sm", "Sm", "Sm", "Sm", "Sm", "Ir", "Ir", "Ru"], "fractional_positions": [[0.586, 0.341, 0.083], [0.586, 0.083, 0.341], [0.179, 0.360, 0.360], [0.991, 0.209, 0.790], [0.991, 0.790, 0.209], [0.805, 0.647, 0.647], [0.379, 0.923, 0.665], [0.379, 0.665, 0.923], [0.491, 0.695, 0.317], [0.491, 0.317, 0.695], [0.121, 0.004, 0.004]], "magnetic_moment_mub_per_fu": 0.000, "vol_a3_per_atom": 28.2, "n_ef_per_ev_cell": 9.06, "space_group": "Cm (8)", "delta_e_f_ev_per_atom": -0.31, "de_polymorph_mev_per_atom": 46}



{"formula": "CaNd2Au", "functional": "PBE", "state": "relaxed", "lattice": [[-0.955, 0.568, -4.635], [-5.030, -2.533, 3.174], [-3.047, 8.080, 1.618]], "species": ["Ca", "Ca", "Nd", "Nd", "Nd", "Nd", "Au", "Au"], "fractional_positions": [[0.945, 0.890, 0.250], [0.055, 0.110, 0.750], [0.356, 0.712, 0.544], [0.644, 0.288, 0.456], [0.356, 0.712, 0.956], [0.644, 0.288, 0.044], [0.778, 0.555, 0.750], [0.222, 0.445, 0.250]], "magnetic_moment_mub_per_fu": 0.000, "vol_a3_per_atom": 31.5, "n_ef_per_ev_cell": 9.36, "space_group": "Cmcm (63)", "delta_e_f_ev_per_atom": -0.37, "de_polymorph_mev_per_atom": 0}



{"formula": "PuMnTc2", "functional": "PBE", "state": "relaxed", "lattice": [[4.516, 0.000, 0.000], [2.258, 3.911, 0.000], [2.258, 1.304, 3.688]], "species": ["Mn", "Tc", "Tc", "Pu"], "fractional_positions": [[0.500, 0.500, 0.500], [0.250, 0.250, 0.250], [0.750, 0.750, 0.750], [0.000, 0.000, 0.000]], "magnetic_moment_mub_per_fu": 7.233, "vol_a3_per_atom": 16.3, "n_ef_per_ev_cell": 6.96, "space_group": "Fm-3m (225)", "delta_e_f_ev_per_atom": 0.11, "de_polymorph_mev_per_atom": 0}



{"formula": "ZnAg2Br4", "functional": "PBE", "state": "relaxed", "lattice": [[-0.334, 5.803, 2.388], [-4.981, 1.210, -3.635], [-0.822, -5.408, 4.758]], "species": ["Zn", "Ag", "Ag", "Br", "Br", "Br", "Br"], "fractional_positions": [[0.500, 0.500, 0.000], [0.750, 0.250, 0.500], [0.250, 0.750, 0.500], [0.847, 0.379, 0.225], [0.379, 0.847, 0.225], [0.621, 0.621, 0.775], [0.153, 0.153, 0.775]], "magnetic_moment_mub_per_fu": 0.000, "vol_a3_per_atom": 32.3, "n_ef_per_ev_cell": 0.00, "space_group": "I-42m (121)", "de_polymorph_mev_per_atom": 0, "raw_formation_energy_mev_per_atom": -575}